# 1
# K2TlAs | the Alexandria database | PBE-GGA | relaxed
data_K2TlAs
_chemical_formula_sum 'K8 Tl4 As4'
_cell_length_a 5.061
_cell_length_b 5.061
_cell_length_c 22.711
_cell_angle_alpha 90.00
_cell_angle_beta 90.00
_cell_angle_gamma 90.00
_symmetry_space_group_name_H-M 'I -4 2 d'
_symmetry_Int_Tables_number 122
_symmetry_space_group_name_Hall 'I -4 2bw'
loop_
_atom_site_label
_atom_site_type_symbol
_atom_site_fract_x
_atom_site_fract_y
_atom_site_fract_z
_atom_site_occupancy
K1 K 0.227 0.250 0.125 1
Tl1 Tl 0.000 0.000 0.500 1
As1 As 0.000 0.000 0.000 1
# energy above the most stable polymorph in this dataset = 446 meV/atom
# total energy = -2.19 eV/atom
# formation energy = 0.467 eV/f.u.
# D(E_F) = 16.56 states/eV per cell



# 2
# KTlAs3 | the Alexandria database | PBE-GGA | relaxed
data_KTlAs3
_chemical_formula_sum 'K1 Tl1 As3'
_cell_length_a 5.471
_cell_length_b 5.471
_cell_length_c 5.471
_cell_angle_alpha 90.00
_cell_angle_beta 90.00
_cell_angle_gamma 90.00
_symmetry_space_group_name_H-M 'P m -3 m'
_symmetry_Int_Tables_number 221
_symmetry_space_group_name_Hall '-P 4 2 3'
loop_
_atom_site_label
_atom_site_type_symbol
_atom_site_fract_x
_atom_site_fract_y
_atom_site_fract_z
_atom_site_occupancy
K1 K 0.000 0.000 0.000 1
Tl1 Tl 0.500 0.500 0.500 1
As1 As 0.000 0.500 0.500 1
# energy above the most stable polymorph in this dataset = 0 meV/atom
# total energy = -2.88 eV/atom
# formation energy = 3.004 eV/f.u.
# D(E_F) = 6.16 states/eV per cell



# 3
# K2TlAs | the Alexandria database | PBE-GGA | relaxed
data_K2TlAs
_chemical_formula_sum 'K4 Tl2 As2'
_cell_length_a 7.034
_cell_length_b 4.470
_cell_length_c 9.849
_cell_angle_alpha 90.00
_cell_angle_beta 108.03
_cell_angle_gamma 90.00
_symmetry_space_group_name_H-M 'P 1 21/m 1'
_symmetry_Int_Tables_number 11
_symmetry_space_group_name_Hall '-P 2yb'
loop_
_atom_site_label
_atom_site_type_symbol
_atom_site_fract_x
_atom_site_fract_y
_atom_site_fract_z
_atom_site_occupancy
K1 K 0.193 0.250 0.414 1
K2 K 0.251 0.750 0.062 1
Tl1 Tl 0.364 0.750 0.724 1
As1 As 0.149 0.250 0.783 1
# energy above the most stable polymorph in this dataset = 0 meV/atom
# total energy = -2.63 eV/atom
# formation energy = -1.316 eV/f.u.
# D(E_F) = 0.05 states/eV per cell



- Among the records above, which one has the lowest D(E_F)?
  number 3